(1)
# Ca8GaHg2

Ca8GaHg2 after structural relaxation (PBE, Alexandria via LeMat-Bulk).

The structure belongs to space group Immm (No. 71); the cell edges are 5.219, 8.900 and 15.217 Å and the angles 90.00°, 90.00° and 90.00°. The distinct sites, in fractional coordinates, are Ca at (0.000, 0.000, 0.133), Ca at (0.000, 0.221, 0.338), Ca at (0.000, 0.315, 0.000), Ga at (0.000, 0.500, 0.500) and Hg at (0.000, 0.500, 0.190).

The total magnetization is 0.00 μB per cell. Its calculated formation energy is -240 meV per atom. The volume comes out at 32.129 Å³ per atom. Its density of states at the Fermi level is 0.57 states/eV per atom.

***

(2)
# YCu2NCl

YCu2NCl after structural relaxation (PBE, Alexandria via LeMat-Bulk).

The structure belongs to space group P4/mmm (No. 123); the cell edges are 4.033, 4.033 and 6.272 Å and the angles 90.00°, 90.00° and 90.00°. The distinct sites, in fractional coordinates, are Y at (0.000, 0.000, 0.000), Cu at (0.000, 0.500, 0.500), N at (0.500, 0.500, 0.000) and Cl at (0.500, 0.500, 0.500).

The total magnetization is 0.00 μB per cell. The value obtained for the formation energy (no corrections) is 0.754 eV per atom. The volume comes out at 20.401 Å³ per atom. Its density of states at the Fermi level is 0.45 states/eV per atom.

***

(3)
# Eu2Y

Eu2Y after structural relaxation (PBE, Alexandria via LeMat-Bulk).

The structure belongs to space group I4/mmm (No. 139); the cell edges are 3.735, 3.735 and 16.303 Å and the angles 90.00°, 90.00° and 90.00°. The distinct sites, in fractional coordinates, are Eu at (0.000, 0.000, 0.162) and Y at (0.000, 0.000, 0.500).

The total magnetization is 30.56 μB per cell. Its calculated formation energy is 84 meV per atom. The volume comes out at 37.906 Å³ per atom. Its density of states at the Fermi level is 1.26 states/eV per atom.